(1)
Here is a relaxed structure of TbErTmAl from the Alexandria database. Energies are from PBE-GGA.

The structure belongs to space group F-43m (No. 216); the cell edges are 7.510, 7.510 and 7.510 Å and the angles 90.00°, 90.00° and 90.00°. The inequivalent atoms are Tb at (0.000, 0.000, 0.000), Er at (0.000, 0.000, 0.500), Tm at (0.250, 0.250, 0.750) and Al at (0.250, 0.250, 0.250).

As for the total energy: -4.4191 eV per atom. The magnetic moment comes out at 0.0029 μB per atom. The calculation puts the excess energy over the best structure of this formula in the dataset at 125.1 meV/atom. The formation energy is -0.269 eV/f.u.

(2)
Here is a relaxed structure of TbErAlZn from the Alexandria database. Energies are from PBE-GGA.

The structure belongs to space group P4mm (No. 99); the cell edges are 3.560, 3.560 and 7.226 Å and the angles 90.00°, 90.00° and 90.00°. The inequivalent atoms are Tb at (0.000, 0.000, 0.000), Er at (0.000, 0.000, 0.510), Al at (0.500, 0.500, 0.259) and Zn at (0.500, 0.500, 0.746).

As for the total energy: -3.9337 eV per atom. The magnetic moment comes out at 0.0000 μB per atom. The calculation puts the excess energy over the best structure of this formula in the dataset at 0.0 meV/atom. The formation energy is -1.525 eV/f.u.

(3)
Here is a relaxed structure of TbErAlZn from the Alexandria database. Energies are from PBE-GGA.

The structure belongs to space group F-43m (No. 216); the cell edges are 7.167, 7.167 and 7.167 Å and the angles 90.00°, 90.00° and 90.00°. The inequivalent atoms are Tb at (0.000, 0.000, 0.000), Er at (0.000, 0.000, 0.500), Al at (0.250, 0.250, 0.750) and Zn at (0.250, 0.250, 0.250).

As for the total energy: -3.9268 eV per atom. The magnetic moment comes out at 0.0001 μB per atom. The calculation puts the excess energy over the best structure of this formula in the dataset at 6.9 meV/atom. The formation energy is -1.497 eV/f.u.

(4)
Here is a relaxed structure of TbErZrAl from the Alexandria database. Energies are from PBE-GGA.

The structure belongs to space group F-43m (No. 216); the cell edges are 7.292, 7.292 and 7.292 Å and the angles 90.00°, 90.00° and 90.00°. The inequivalent atoms are Tb at (0.000, 0.000, 0.000), Er at (0.250, 0.250, 0.250), Zr at (0.250, 0.250, 0.750) and Al at (0.000, 0.000, 0.500).

As for the total energy: -5.3623 eV per atom. The magnetic moment comes out at 0.0031 μB per atom. The formation energy is 0.034 eV/f.u.

(5)
Here is a relaxed structure of ErAlTc from the Alexandria database. Energies are from PBE-GGA.

The structure belongs to space group P4_12_12 (No. 92); the cell edges are 5.706, 5.706 and 8.650 Å and the angles 90.00°, 90.00° and 90.00°. The inequivalent atoms are Er at (0.226, 0.226, 0.000), Al at (0.139, 0.139, 0.500) and Tc at (0.064, 0.936, 0.750).

As for the total energy: -5.8820 eV per atom. The magnetic moment comes out at 0.0001 μB per atom. The calculation puts the excess energy over the best structure of this formula in the dataset at 798.6 meV/atom. The formation energy is 1.025 eV/f.u.

(6)
Here is a relaxed structure of Er2AlTc from the Alexandria database. Energies are from PBE-GGA.

The structure belongs to space group R-3m (No. 166, hexagonal axes); the cell edges are 3.3981, 3.3981 and 27.1352 Å and the angles 90.00°, 90.00° and 120.00°. The inequivalent atoms are Er at (0.0000, 0.0000, 0.2416), Al at (0.0000, 0.0000, 0.0000) and Tc at (0.0000, 0.0000, 0.5000).

As for the total energy: -5.7650 eV per atom. The magnetic moment comes out at 0.0000 μB per atom. The formation energy is 0.174 eV/f.u.

(7)
Here is a relaxed structure of ErAlTc from the Alexandria database. Energies are from PBE-GGA.

The structure belongs to space group Imma (No. 74); the cell edges are 5.361, 5.540 and 7.534 Å and the angles 90.00°, 90.00° and 90.00°. The inequivalent atoms are Er at (0.000, 0.250, 0.116), Al at (0.000, 0.000, 0.500) and Tc at (0.250, 0.250, 0.750).

As for the total energy: -6.6806 eV per atom. The magnetic moment comes out at 0.0000 μB per atom. The calculation puts the excess energy over the best structure of this formula in the dataset at 0.0 meV/atom. The formation energy is -1.371 eV/f.u.

(8)
Here is a relaxed structure of Er2AlTc from the Alexandria database. Energies are from PBE-GGA.

The structure belongs to space group P4/mmm (No. 123); the cell edges are 3.525, 3.525 and 6.909 Å and the angles 90.00°, 90.00° and 90.00°. The inequivalent atoms are Er at (0.000, 0.000, 0.229), Al at (0.500, 0.500, 0.500) and Tc at (0.500, 0.500, 0.000).

As for the total energy: -6.0284 eV per atom. The magnetic moment comes out at 0.0000 μB per atom. The formation energy is -0.880 eV/f.u.

(9)
Here is a relaxed structure of Er2Al5Tc from the Alexandria database. Energies are from PBE-GGA.

The structure belongs to space group I4mm (No. 107); the cell edges are 6.393, 6.393 and 7.272 Å and the angles 90.00°, 90.00° and 90.00°. The inequivalent atoms are Er at (0.000, 0.500, 0.000), Al at (0.000, 0.000, 0.456), Al at (0.212, 0.212, 0.750) and Tc at (0.000, 0.000, 0.098).

As for the total energy: -5.0550 eV per atom. The magnetic moment comes out at 0.0000 μB per atom. The formation energy is -2.235 eV/f.u.

(10)
Here is a relaxed structure of ErAl2Tc from the Alexandria database. Energies are from PBE-GGA.

The structure belongs to space group P4/mmm (No. 123); the cell edges are 3.222, 3.222 and 6.968 Å and the angles 90.00°, 90.00° and 90.00°. The inequivalent atoms are Er at (0.000, 0.000, 0.000), Al at (0.500, 0.500, 0.311) and Tc at (0.000, 0.000, 0.500).

As for the total energy: -5.9403 eV per atom. The magnetic moment comes out at 0.0004 μB per atom. The calculation puts the excess energy over the best structure of this formula in the dataset at 0.0 meV/atom. The formation energy is -1.347 eV/f.u.

(11)
Here is a relaxed structure of Er5Al2Tc from the Alexandria database. Energies are from PBE-GGA.

The structure belongs to space group Pbam (No. 55); the cell edges are 6.421, 12.316 and 4.889 Å and the angles 90.00°, 90.00° and 90.00°. The inequivalent atoms are Er at (0.000, 0.000, 0.000), Er at (0.114, 0.280, 0.000), Er at (0.168, 0.602, 0.500), Al at (0.144, 0.858, 0.500) and Tc at (0.000, 0.500, 0.000).

As for the total energy: -5.3242 eV per atom. The magnetic moment comes out at 0.0000 μB per atom. The formation energy is -1.928 eV/f.u.

(12)
Here is a relaxed structure of Er2Al6Tc from the Alexandria database. Energies are from PBE-GGA.

The structure belongs to space group P-3m1 (No. 164); the cell edges are 5.6863, 5.6863 and 6.0613 Å and the angles 90.00°, 90.00° and 120.00°. The inequivalent atoms are Er at (0.3333, 0.6667, 0.3729), Al at (0.1701, 0.3401, 0.8225) and Tc at (0.0000, 0.0000, 0.5000).

As for the total energy: -5.0666 eV per atom. The magnetic moment comes out at 0.0000 μB per atom. The formation energy is -3.653 eV/f.u.

(13)
Here is a relaxed structure of Er8AlTc2 from the Alexandria database. Energies are from PBE-GGA.

The structure belongs to space group C2/m (No. 12); the cell edges are 17.531, 4.798 and 7.134 Å and the angles 90.00°, 110.17° and 90.00°. The inequivalent atoms are Er at (0.033, 0.000, 0.270), Er at (0.100, 0.500, 0.967), Er at (0.175, 0.500, 0.454), Er at (0.199, 0.000, 0.808), Al at (0.000, 0.500, 0.500) and Tc at (0.185, 0.000, 0.192).

As for the total energy: -5.6794 eV per atom. The magnetic moment comes out at 0.0000 μB per atom. The formation energy is -1.496 eV/f.u.

(14)
Here is a relaxed structure of ErAl8Tc2 from the Alexandria database. Energies are from PBE-GGA.

The structure belongs to space group C2/m (No. 12); the cell edges are 8.524, 10.518 and 4.812 Å and the angles 90.00°, 103.67° and 90.00°. The inequivalent atoms are Er at (0.000, 0.000, 0.000), Al at (0.000, 0.285, 0.000), Al at (0.107, 0.500, 0.758), Al at (0.228, 0.128, 0.595) and Tc at (0.000, 0.283, 0.500).

As for the total energy: -5.1842 eV per atom. The magnetic moment comes out at 0.0000 μB per atom. The formation energy is -1.791 eV/f.u.

(15)
Here is a relaxed structure of ErAlTc from the Alexandria database. Energies are from PBE-GGA.

The structure belongs to space group I4mm (No. 107); the cell edges are 3.415, 3.415 and 9.741 Å and the angles 90.00°, 90.00° and 90.00°. The inequivalent atoms are Er at (0.000, 0.000, 0.000), Al at (0.000, 0.000, 0.707) and Tc at (0.000, 0.000, 0.313).

As for the total energy: -6.4912 eV per atom. The magnetic moment comes out at 0.0000 μB per atom. The calculation puts the excess energy over the best structure of this formula in the dataset at 189.4 meV/atom. The formation energy is -0.802 eV/f.u.

(16)
Here is a relaxed structure of Er3Al7Tc2 from the Alexandria database. Energies are from PBE-GGA.

The structure belongs to space group R-3m (No. 166, hexagonal axes); the cell edges are 5.4563, 5.4563 and 26.2486 Å and the angles 90.00°, 90.00° and 120.00°. The inequivalent atoms are Er at (0.0000, 0.0000, 0.0000), Er at (0.0000, 0.0000, 0.1477), Al at (0.0000, 0.0000, 0.5000), Al at (0.0045, 0.5023, 0.9216) and Tc at (0.0000, 0.0000, 0.3348).

As for the total energy: -5.4700 eV per atom. The magnetic moment comes out at 0.0000 μB per atom. The formation energy is -5.021 eV/f.u.

(17)
Here is a relaxed structure of ErAl4Tc from the Alexandria database. Energies are from PBE-GGA.

The structure belongs to space group Cmcm (No. 63); the cell edges are 4.519, 14.218 and 6.855 Å and the angles 90.00°, 90.00° and 90.00°. The inequivalent atoms are Er at (0.000, 0.118, 0.250), Al at (0.000, 0.084, 0.750), Al at (0.000, 0.263, 0.577), Al at (0.000, 0.500, 0.000) and Tc at (0.000, 0.343, 0.250).

As for the total energy: -5.1876 eV per atom. The magnetic moment comes out at 0.0000 μB per atom. The formation energy is -1.227 eV/f.u.

(18)
Here is a relaxed structure of Er3AlTc from the Alexandria database. Energies are from PBE-GGA.

The structure belongs to space group C2/m (No. 12); the cell edges are 18.110, 3.451 and 7.596 Å and the angles 90.00°, 100.53° and 90.00°. The inequivalent atoms are Er at (0.099, 0.000, 0.072), Er at (0.101, 0.000, 0.511), Er at (0.215, 0.500, 0.814), Al at (0.018, 0.500, 0.755) and Tc at (0.208, 0.500, 0.384).

As for the total energy: -5.7228 eV per atom. The magnetic moment comes out at 0.0000 μB per atom. The formation energy is -0.817 eV/f.u.

(19)
Here is a relaxed structure of Er3Al9Tc2 from the Alexandria database. Energies are from PBE-GGA.

The structure belongs to space group Immm (No. 71); the cell edges are 4.347, 9.517 and 12.481 Å and the angles 90.00°, 90.00° and 90.00°. The inequivalent atoms are Er at (0.000, 0.000, 0.000), Er at (0.000, 0.000, 0.300), Al at (0.000, 0.282, 0.126), Al at (0.000, 0.361, 0.349), Al at (0.000, 0.500, 0.000) and Tc at (0.000, 0.174, 0.500).

As for the total energy: -5.3321 eV per atom. The magnetic moment comes out at 0.0000 μB per atom. The formation energy is -6.546 eV/f.u.

(20)
Here is a relaxed structure of ErAl10Tc2 from the Alexandria database. Energies are from PBE-GGA.

The structure belongs to space group Cmcm (No. 63); the cell edges are 9.138, 10.337 and 9.169 Å and the angles 90.00°, 90.00° and 90.00°. The inequivalent atoms are Er at (0.000, 0.129, 0.250), Al at (0.000, 0.150, 0.597), Al at (0.000, 0.375, 0.038), Al at (0.157, 0.371, 0.750), Al at (0.225, 0.365, 0.250), Al at (0.227, 0.000, 0.000) and Tc at (0.250, 0.250, 0.000).

As for the total energy: -5.2340 eV per atom. The magnetic moment comes out at 0.0000 μB per atom. The formation energy is -5.322 eV/f.u.

(21)
Here is a relaxed structure of Er6Al2Tc from the Alexandria database. Energies are from PBE-GGA.

The structure belongs to space group Immm (No. 71); the cell edges are 5.006, 7.035 and 14.544 Å and the angles 90.00°, 90.00° and 90.00°. The inequivalent atoms are Er at (0.000, 0.232, 0.000), Er at (0.000, 0.255, 0.343), Al at (0.000, 0.500, 0.167) and Tc at (0.000, 0.500, 0.500).

As for the total energy: -5.0336 eV per atom. The magnetic moment comes out at 0.0000 μB per atom. The formation energy is -0.074 eV/f.u.

(22)
Here is a relaxed structure of ErAlTc from the Alexandria database. Energies are from PBE-GGA.

The structure belongs to space group P-6m2 (No. 187); the cell edges are 4.3464, 4.3464 and 3.6428 Å and the angles 90.00°, 90.00° and 120.00°. The inequivalent atoms are Er at (0.0000, 0.0000, 0.0000), Al at (0.3333, 0.6667, 0.5000) and Tc at (0.6667, 0.3333, 0.5000).

As for the total energy: -6.4090 eV per atom. The magnetic moment comes out at 0.0000 μB per atom. The calculation puts the excess energy over the best structure of this formula in the dataset at 271.7 meV/atom. The formation energy is -0.556 eV/f.u.

(23)
Here is a relaxed structure of Er6AlTc2 from the Alexandria database. Energies are from PBE-GGA.

The structure belongs to space group Immm (No. 71); the cell edges are 9.300, 9.376 and 10.354 Å and the angles 90.00°, 90.00° and 90.00°. The inequivalent atoms are Er at (0.000, 0.187, 0.167), Er at (0.186, 0.222, 0.500), Er at (0.199, 0.500, 0.253), Al at (0.000, 0.500, 0.000), Al at (0.000, 0.500, 0.500), Tc at (0.000, 0.000, 0.385) and Tc at (0.185, 0.000, 0.000).

As for the total energy: -5.9500 eV per atom. The magnetic moment comes out at 0.0000 μB per atom. The formation energy is -1.698 eV/f.u.